BaCaMg2 | Alexandria | GGA-PBEsol | relaxed; magnetic moment = 0.00 μB per cell; E = -1.95 eV/atom; symmetry = F-43m; offset from the most stable computed form = 44 meV/atom; formation energy from the elements = -10 kJ/mol of formula units; theoretical density = 2.92 g cm⁻³; density of states at the Fermi level = 0.38 states/eV/atom
1.0
0.000 4.006 4.006
4.006 0.000 4.006
4.006 4.006 0.000
Ba Ca Mg
1 1 2
Cartesian
0.000 0.000 0.000
6.009 6.009 6.009
2.003 2.003 2.003
4.006 4.006 4.006